The following is a DFT calculation (PBE-GGA) of a geometry-optimized Ac4ErGe5 structure.

For the formation energy, the calculation gives -529 meV/atom. The density of states at the Fermi level comes out at 12.57 states/eV/f.u.

The structure belongs to space group I4 (No. 79); the cell edges are 10.059, 10.059 and 6.348 Å and the angles 90.00°, 90.00° and 90.00°. The asymmetric unit holds Ac at (0.092, 0.301, 0.000), Er at (0.000, 0.000, 0.501), Ge at (0.000, 0.000, 0.003) and Ge at (0.095, 0.275, 0.500).

***

The following is a DFT calculation (PBE-GGA) of a geometry-optimized LaTbDy2Sb4 structure.

The formation energy without anion corrections is -1.156 eV per atom. The density of states at the Fermi level comes out at 1.20 states/eV/f.u.

The structure belongs to space group I4/mmm (No. 139); the cell edges are 6.299, 6.299 and 12.589 Å and the angles 90.00°, 90.00° and 90.00°. The asymmetric unit holds La at (0.000, 0.000, 0.000), Tb at (0.000, 0.000, 0.500), Dy at (0.000, 0.500, 0.250), Sb at (0.000, 0.000, 0.254) and Sb at (0.000, 0.500, 0.000).